# LiYLu, relaxed, DFT PBE
data_LiYLu
_cell_length_a 7.078
_cell_length_b 7.078
_cell_length_c 7.078
_cell_angle_alpha 90.00
_cell_angle_beta 90.00
_cell_angle_gamma 90.00
_space_group_name_H-M_alt 'F -4 3 m'
_space_group_IT_number 216
_space_group_name_Hall 'F -4 2 3'
loop_
_atom_site_label
_atom_site_fract_x
_atom_site_fract_y
_atom_site_fract_z
Li1 0.000 0.000 0.000
Y1 0.250 0.250 0.250
Lu1 0.250 0.250 0.750
# - total energy (eV/atom) = -3.79
# - volume (Å³/f.u.) = 89
# - energy above the most stable polymorph in this dataset (meV per atom) = 0